Record 1
HfBiSe: optimized geometry, PBE-GGA.

Cell and atoms, written as CIF:
```
data_HfBiSe
_space_group_name_H-M_alt 'P 1'
_space_group_IT_number 1
_cell_length_a 7.296
_cell_length_b 7.296
_cell_length_c 6.734
_cell_angle_alpha 107.17
_cell_angle_beta 107.17
_cell_angle_gamma 28.27
loop_
_space_group_symop_operation_xyz
'x,y,z'
loop_
_atom_site_label
_atom_site_fract_x
_atom_site_fract_y
_atom_site_fract_z
_atom_site_occupancy
Hf1 0.148 0.148 0.059 1
Hf2 0.852 0.852 0.941 1
Bi1 0.488 0.488 0.745 1
Bi2 0.512 0.512 0.255 1
Se1 0.218 0.218 0.737 1
Se2 0.782 0.782 0.263 1
```

Summary:
E_form (uncorrected) (eV per atom): -0.720
Polymorph energy (0 for the lowest one) (meV/atom): 0.0
Total magnetization (μB/f.u.): 0.00
Space-group type: C2/m, No. 12

---

Record 2
ErU5S6: optimized geometry, PBE-GGA.

Cell and atoms, written as CIF:
```
data_ErU5S6
_space_group_name_H-M_alt 'P 1'
_space_group_IT_number 1
_cell_length_a 6.712
_cell_length_b 6.712
_cell_length_c 6.644
_cell_angle_alpha 99.70
_cell_angle_beta 99.70
_cell_angle_gamma 119.83
loop_
_space_group_symop_operation_xyz
'x,y,z'
loop_
_atom_site_label
_atom_site_fract_x
_atom_site_fract_y
_atom_site_fract_z
_atom_site_occupancy
Er1 0.000 0.000 0.000 1
U1 0.168 0.832 0.500 1
U2 0.334 0.666 0.000 1
U3 0.500 0.500 0.500 1
U4 0.666 0.334 0.000 1
U5 0.832 0.168 0.500 1
S1 0.082 0.413 0.247 1
S2 0.247 0.247 0.750 1
S3 0.413 0.082 0.247 1
S4 0.587 0.918 0.753 1
S5 0.753 0.753 0.250 1
S6 0.918 0.587 0.753 1
```

Summary:
E_form (uncorrected) (eV per atom): -1.466
Total magnetization (μB/f.u.): 11.47
Space-group type: C2/m, No. 12

---

Record 3
SrInHgI6: optimized geometry, PBE-GGA.

Cell and atoms, written as CIF:
```
data_SrInHgI6
_space_group_name_H-M_alt 'P 1'
_space_group_IT_number 1
_cell_length_a 7.923
_cell_length_b 7.923
_cell_length_c 7.237
_cell_angle_alpha 90.19
_cell_angle_beta 90.19
_cell_angle_gamma 120.22
loop_
_space_group_symop_operation_xyz
'x,y,z'
loop_
_atom_site_label
_atom_site_fract_x
_atom_site_fract_y
_atom_site_fract_z
_atom_site_occupancy
Sr1 0.000 0.000 0.000 1
In1 0.334 0.666 0.000 1
Hg1 0.667 0.333 0.500 1
I1 0.023 0.660 0.756 1
I2 0.026 0.365 0.243 1
I3 0.337 0.362 0.756 1
I4 0.340 0.977 0.244 1
I5 0.635 0.974 0.757 1
I6 0.638 0.663 0.244 1
```

Summary:
E_form (uncorrected) (eV per atom): -0.738
Total magnetization (μB/f.u.): 0.00
Space-group type: C2, No. 5